# 1
# GGA-PBE Y5GaSb2, optimized geometry
data_Y5GaSb2
_chemical_formula_sum 'Y20 Ga4 Sb8'
_space_group_name_H-M_alt 'C m c m'
_space_group_IT_number 63
_space_group_name_Hall '-C 2c 2'
_cell_length_a 5.9750
_cell_length_b 12.3892
_cell_length_c 14.1643
_cell_angle_alpha 90.00
_cell_angle_beta 90.00
_cell_angle_gamma 90.00
loop_
_atom_site_label
_atom_site_fract_x
_atom_site_fract_y
_atom_site_fract_z
Y1 0.0000 0.0651 0.1164
Y2 0.0000 0.3178 0.7500
Y3 0.0000 0.3676 0.0704
Ga1 0.0000 0.2384 0.2500
Sb1 0.0000 0.1769 0.5757
# * raw total energy: -47.08 eV per formula unit
# * crystal system: orthorhombic
# * spin magnetization: 0.0000 μB per atom
# * raw formation energy: -436 meV/atom



# 2
# GGA-PBE Ca2AgF, optimized geometry
data_Ca2AgF
_chemical_formula_sum 'Ca8 Ag4 F4'
_space_group_name_H-M_alt 'I -4 2 d'
_space_group_IT_number 122
_space_group_name_Hall 'I -4 2bw'
_cell_length_a 6.9214
_cell_length_b 6.9214
_cell_length_c 8.2002
_cell_angle_alpha 90.00
_cell_angle_beta 90.00
_cell_angle_gamma 90.00
loop_
_atom_site_label
_atom_site_fract_x
_atom_site_fract_y
_atom_site_fract_z
Ca1 0.1727 0.2500 0.1250
Ag1 0.0000 0.0000 0.5000
F1 0.0000 0.0000 0.0000
# * raw total energy: -14.53 eV per formula unit
# * crystal system: tetragonal
# * spin magnetization: 0.0000 μB per atom
# * raw formation energy: -1452 meV/atom